Record 1
A relaxed structure of LaTb2Pm6Dy, computed with PBE.

Cell lengths 8.956, 8.956, 9.791 Å; angles 94.25, 94.25, 117.87 degrees
Positions (direct):
La 0.095 0.905 0.750
La 0.905 0.095 0.250
Tb 0.208 0.306 0.955
Tb 0.306 0.208 0.455
Tb 0.694 0.792 0.545
Tb 0.792 0.694 0.045
Pm 0.007 0.794 0.379
Pm 0.070 0.522 0.182
Pm 0.206 0.993 0.121
Pm 0.258 0.614 0.555
Pm 0.386 0.742 0.945
Pm 0.478 0.930 0.318
Pm 0.522 0.070 0.682
Pm 0.614 0.258 0.055
Pm 0.742 0.386 0.445
Pm 0.794 0.007 0.879
Pm 0.930 0.478 0.818
Pm 0.993 0.206 0.621
Dy 0.472 0.528 0.250
Dy 0.528 0.472 0.750

## Properties
Space group: C2/c
Energy of formation in eV/atom: 0.117
Size of the total moment in μB per atom: 0.000

Record 2
A relaxed structure of LaTb4Pm2Dy, computed with PBE.

Cell lengths 6.233, 3.616, 11.937 Å; angles 90.00, 100.30, 90.00 degrees
Positions (direct):
La 0.000 0.000 0.000
Tb 0.248 0.000 0.747
Tb 0.251 0.500 0.253
Tb 0.749 0.500 0.747
Tb 0.752 0.000 0.253
Pm 0.500 0.000 0.500
Pm 0.500 0.500 0.000
Dy 0.000 0.500 0.500

## Properties
Space group: P2/m
Energy of formation in eV/atom: 0.018
Size of the total moment in μB per atom: 0.000